# 1
Entry from Alexandria via LeMat-Bulk: a relaxed Ba2ZnGa crystal (PBE).

Cell and atoms, written as CIF:
```
data_Ba2ZnGa
_cell_length_a 4.087
_cell_length_b 4.087
_cell_length_c 8.306
_cell_angle_alpha 90.00
_cell_angle_beta 90.00
_cell_angle_gamma 90.00
_space_group_name_H-M_alt 'P 4/m m m'
_space_group_IT_number 123
_space_group_name_Hall '-P 4 2'
loop_
_atom_site_label
_atom_site_type_symbol
_atom_site_fract_x
_atom_site_fract_y
_atom_site_fract_z
_atom_site_occupancy
Ba1 Ba 0.000 0.000 0.247 1
Zn1 Zn 0.500 0.500 0.500 1
Ga1 Ga 0.500 0.500 0.000 1
```

The value obtained for the density of states at the Fermi level is 0.47 states/eV/atom. The formation energy comes out at -0.242 eV/atom. The total energy is -2.278 eV per atom.

# 2
Entry from Alexandria via LeMat-Bulk: a relaxed ThSO crystal (PBE).

Cell and atoms, written as CIF:
```
data_ThSO
_cell_length_a 3.980
_cell_length_b 3.980
_cell_length_c 6.787
_cell_angle_alpha 90.00
_cell_angle_beta 90.00
_cell_angle_gamma 90.00
_space_group_name_H-M_alt 'P 4/n m m'
_space_group_IT_number 129
loop_
_space_group_symop_operation_xyz
'x,y,z'
'-x,-y,-z'
'-y+1/2,x,z'
'y+1/2,-x,-z'
'-x+1/2,-y+1/2,z'
'x+1/2,y+1/2,-z'
'y,-x+1/2,z'
'-y,x+1/2,-z'
'x+1/2,-y,-z'
'-x+1/2,y,z'
'-y,-x,-z'
'y,x,z'
'-x,y+1/2,-z'
'x,-y+1/2,z'
'y+1/2,x+1/2,-z'
'-y+1/2,-x+1/2,z'
loop_
_atom_site_label
_atom_site_type_symbol
_atom_site_fract_x
_atom_site_fract_y
_atom_site_fract_z
_atom_site_occupancy
Th1 Th 0.250 0.250 0.200 1
S1 S 0.250 0.250 0.638 1
O1 O 0.250 0.750 0.000 1
```

The calculation puts the formation energy from raw total energies at -877 kJ/mol of formula units. The total energy is -8.533 eV per atom.

# 3
Entry from Alexandria via LeMat-Bulk: a relaxed NaSiB crystal (PBE).

Cell and atoms, written as CIF:
```
data_NaSiB
_cell_length_a 6.133
_cell_length_b 5.744
_cell_length_c 6.015
_cell_angle_alpha 90.00
_cell_angle_beta 104.56
_cell_angle_gamma 90.00
_space_group_name_H-M_alt 'P 1 21/c 1'
_space_group_IT_number 14
loop_
_space_group_symop_operation_xyz
'x,y,z'
'-x,-y,-z'
'-x,y+1/2,-z+1/2'
'x,-y+1/2,z+1/2'
loop_
_atom_site_label
_atom_site_type_symbol
_atom_site_fract_x
_atom_site_fract_y
_atom_site_fract_z
_atom_site_occupancy
Na1 Na 0.135 0.201 0.222 1
Si1 Si 0.330 0.708 0.142 1
B1 B 0.493 0.088 0.605 1
```

The value obtained for the density of states at the Fermi level is 0.05 states/eV/atom. The calculation puts the formation energy from raw total energies at 75 kJ/mol of formula units. The total energy is -4.213 eV per atom.

Q: Number 3 is which compound?
A: NaSiB

Q: total energy of number 2 (ThSO)?
A: -8.533 eV per atom

Q: Which formula does entry 2 have?
A: ThSO